# 1
{"formula": "La2MnSi", "functional": "PBE", "state": "relaxed", "raw_formation_energy_mev_per_atom": 307, "dos_at_fermi_per_ev_fu": 7.4, "lattice_angstrom": [[-6.940, 3.052, -2.597], [-0.774, -6.116, -5.119], [-5.263, -3.028, -1.859]], "species": ["La", "La", "La", "La", "Mn", "Mn", "Si", "Si"], "frac_coords": [[0.875, 0.941, 0.750], [0.059, 0.625, 0.250], [0.691, 0.125, 0.250], [0.375, 0.309, 0.750], [0.000, 0.000, 0.000], [0.750, 0.250, 0.500], [0.500, 0.500, 0.000], [0.250, 0.750, 0.500]]}

=====

# 2
{"formula": "LaMn2Si", "functional": "PBE", "state": "relaxed", "raw_formation_energy_mev_per_atom": -329, "dos_at_fermi_per_ev_fu": 2.6, "lattice_angstrom": [[-2.334, 2.907, -1.432], [-3.639, 0.579, 1.539], [0.089, 4.614, 3.654]], "species": ["Mn", "Mn", "Si", "La"], "frac_coords": [[0.054, 0.054, 0.838], [0.746, 0.746, 0.762], [0.450, 0.450, 0.651], [0.250, 0.250, 0.249]]}

=====

# 3
{"formula": "LaMn2Si", "functional": "PBE", "state": "relaxed", "raw_formation_energy_mev_per_atom": 32, "dos_at_fermi_per_ev_fu": 4.2, "lattice_angstrom": [[-1.796, 2.795, 2.314], [-1.682, -2.564, 1.791], [3.404, -1.501, 4.455]], "species": ["La", "Si", "Mn", "Mn"], "frac_coords": [[0.500, 0.716, 0.706], [0.000, 0.346, 0.435], [0.000, 0.991, 0.136], [0.500, 0.447, 0.222]]}

=====

# 4
{"formula": "La2MnSi", "functional": "PBE", "state": "relaxed", "raw_formation_energy_mev_per_atom": 134, "dos_at_fermi_per_ev_fu": 5.2, "lattice_angstrom": [[5.017, 0.000, 0.000], [2.509, 4.345, 0.000], [2.509, 1.448, 4.096]], "species": ["La", "La", "Mn", "Si"], "frac_coords": [[0.250, 0.250, 0.250], [0.000, 0.000, 0.000], [0.500, 0.500, 0.500], [0.750, 0.750, 0.750]]}

=====

# 5
{"formula": "LaMn4Si2", "functional": "PBE", "state": "relaxed", "raw_formation_energy_mev_per_atom": 1077, "de_polymorph_mev_per_atom": 1484, "dos_at_fermi_per_ev_fu": 6.9, "lattice_angstrom": [[4.708, 0.000, 0.000], [0.000, 4.708, 0.000], [2.354, 2.354, 6.591]], "species": ["La", "Si", "Si", "Mn", "Mn", "Mn", "Mn"], "frac_coords": [[0.000, 0.000, 0.000], [0.409, 0.409, 0.182], [0.591, 0.591, 0.818], [0.500, 0.000, 0.000], [0.000, 0.500, 0.000], [0.771, 0.771, 0.458], [0.229, 0.229, 0.542]]}

=====

# 6
{"formula": "LaMnSi4", "functional": "PBE", "state": "relaxed", "raw_formation_energy_mev_per_atom": 39, "dos_at_fermi_per_ev_fu": 3.1, "lattice_angstrom": [[0.370, -5.109, -1.424], [-3.293, -1.981, -3.674], [1.854, -1.291, -4.813]], "species": ["Si", "Si", "Si", "Si", "Mn", "La"], "frac_coords": [[0.371, 0.888, 0.371], [0.888, 0.371, 0.371], [0.371, 0.371, 0.888], [0.371, 0.371, 0.371], [0.000, 0.000, 0.000], [0.750, 0.750, 0.750]]}

=====

# 7
{"formula": "La2MnSi", "functional": "PBE", "state": "relaxed", "raw_formation_energy_mev_per_atom": 86, "dos_at_fermi_per_ev_fu": 2.2, "lattice_angstrom": [[-4.356, -1.520, -6.622], [-0.342, -2.418, -7.693], [-2.648, -5.254, -5.525]], "species": ["La", "La", "Mn", "Si"], "frac_coords": [[0.008, 0.008, 0.008], [0.492, 0.492, 0.492], [0.250, 0.250, 0.250], [0.750, 0.750, 0.750]]}

=====

# 8
{"formula": "LaMn2Si", "functional": "PBE", "state": "relaxed", "raw_formation_energy_mev_per_atom": 225, "dos_at_fermi_per_ev_fu": 3.5, "lattice_angstrom": [[-0.340, 3.093, 3.139], [-2.708, -2.632, 2.298], [2.775, -1.394, 1.674]], "species": ["Mn", "Mn", "La", "Si"], "frac_coords": [[0.000, 0.000, 0.000], [0.500, 0.500, 0.000], [0.000, 0.500, 0.500], [0.500, 0.000, 0.500]]}

=====

# 9
{"formula": "LaMn5Si3", "functional": "PBE", "state": "relaxed", "raw_formation_energy_mev_per_atom": -365, "dos_at_fermi_per_ev_fu": 6.1, "lattice_angstrom": [[3.874, 0.000, 0.000], [-1.937, 6.121, 0.000], [0.000, 0.000, 11.359]], "species": ["Mn", "Mn", "Mn", "Mn", "Mn", "Mn", "Mn", "Mn", "Mn", "Mn", "La", "La", "Si", "Si", "Si", "Si", "Si", "Si"], "frac_coords": [[0.191, 0.382, 0.558], [0.809, 0.618, 0.442], [0.445, 0.891, 0.351], [0.809, 0.618, 0.058], [0.000, 0.000, 0.000], [0.445, 0.891, 0.149], [0.555, 0.109, 0.851], [0.191, 0.382, 0.942], [0.555, 0.109, 0.649], [0.000, 0.000, 0.500], [0.832, 0.664, 0.750], [0.168, 0.336, 0.250], [0.884, 0.769, 0.250], [0.618, 0.237, 0.048], [0.382, 0.763, 0.548], [0.618, 0.237, 0.452], [0.382, 0.763, 0.952], [0.116, 0.231, 0.750]]}

=====

# 10
{"formula": "LaMn2Si", "functional": "PBE", "state": "relaxed", "raw_formation_energy_mev_per_atom": -266, "dos_at_fermi_per_ev_fu": 2.9, "lattice_angstrom": [[4.096, -0.013, 0.003], [2.058, 3.541, 0.003], [2.046, 1.173, 5.204]], "species": ["Si", "Mn", "Mn", "La"], "frac_coords": [[0.750, 0.750, 0.750], [0.074, 0.074, 0.779], [0.426, 0.426, 0.721], [0.250, 0.250, 0.250]]}

=====

# 11
{"formula": "LaMn2Si", "functional": "PBE", "state": "relaxed", "raw_formation_energy_mev_per_atom": 118, "dos_at_fermi_per_ev_fu": 3.8, "lattice_angstrom": [[-0.796, 4.028, -2.137], [-1.655, -2.369, -3.616], [-1.726, -0.311, 4.284]], "species": ["Si", "Mn", "Mn", "La"], "frac_coords": [[0.750, 0.250, 0.500], [0.551, 0.551, 0.000], [0.949, 0.949, 0.000], [0.250, 0.750, 0.500]]}

=====

# 12
{"formula": "LaMnSi2Tc", "functional": "PBE", "state": "relaxed", "raw_formation_energy_mev_per_atom": -604, "dos_at_fermi_per_ev_fu": 3.1, "lattice_angstrom": [[4.124, 0.000, 0.000], [0.000, 4.124, 0.000], [-2.062, -2.062, 5.273]], "species": ["Si", "Si", "La", "Tc", "Mn"], "frac_coords": [[0.373, 0.373, 0.746], [0.627, 0.627, 0.254], [0.000, 0.000, 0.000], [0.750, 0.250, 0.500], [0.250, 0.750, 0.500]]}

=====

# 13
{"formula": "LaYMn4Si4", "functional": "PBE", "state": "relaxed", "raw_formation_energy_mev_per_atom": -581, "dos_at_fermi_per_ev_fu": 5.6, "lattice_angstrom": [[3.949, 0.000, 0.000], [0.000, 3.949, 0.000], [0.000, 0.000, 10.533]], "species": ["Mn", "Mn", "Mn", "Mn", "Si", "Si", "Si", "Si", "Y", "La"], "frac_coords": [[0.000, 0.500, 0.257], [0.000, 0.500, 0.743], [0.500, 0.000, 0.257], [0.500, 0.000, 0.743], [0.000, 0.000, 0.618], [0.000, 0.000, 0.382], [0.500, 0.500, 0.868], [0.500, 0.500, 0.132], [0.500, 0.500, 0.500], [0.000, 0.000, 0.000]]}

=====

# 14
{"formula": "La3YMn4Si4", "functional": "PBE", "state": "relaxed", "raw_formation_energy_mev_per_atom": -511, "dos_at_fermi_per_ev_fu": 7.4, "lattice_angstrom": [[3.980, 0.000, 0.000], [0.000, 3.980, 0.000], [0.000, 0.000, 15.429]], "species": ["Mn", "Mn", "Mn", "Mn", "Si", "Si", "Si", "Si", "La", "La", "La", "Y"], "frac_coords": [[0.000, 0.500, 0.495], [0.500, 0.000, 0.007], [0.000, 0.500, 0.007], [0.500, 0.000, 0.495], [0.000, 0.000, 0.098], [0.000, 0.000, 0.583], [0.500, 0.500, 0.407], [0.500, 0.500, 0.919], [0.000, 0.000, 0.843], [0.000, 0.000, 0.330], [0.500, 0.500, 0.658], [0.500, 0.500, 0.155]]}

=====

# 15
{"formula": "LaSmMnZn", "functional": "PBE", "state": "relaxed", "dos_at_fermi_per_ev_fu": 5.5, "delta_e_f_kj_per_mol_fu": 2, "lattice_angstrom": [[-4.000, 2.489, -2.227], [-4.121, 1.398, 2.867], [-0.853, 5.031, 1.057]], "species": ["Sm", "Mn", "Zn", "La"], "frac_coords": [[0.750, 0.750, 0.750], [0.000, 0.000, 0.000], [0.500, 0.500, 0.500], [0.250, 0.250, 0.250]]}

=====

# 16
{"formula": "LaMnSn3", "functional": "PBE", "state": "relaxed", "dos_at_fermi_per_ev_fu": 6.2, "delta_e_f_kj_per_mol_fu": 507, "lattice_angstrom": [[-0.227, 5.658, 1.954], [-4.826, -1.330, 3.289], [3.541, -1.450, 4.609]], "species": ["Mn", "Sn", "Sn", "Sn", "La"], "frac_coords": [[0.500, 0.500, 0.500], [0.500, 0.000, 0.000], [0.000, 0.000, 0.500], [0.000, 0.500, 0.000], [0.000, 0.000, 0.000]]}

=====

# 17
{"formula": "LaMnSn", "functional": "PBE", "state": "relaxed", "dos_at_fermi_per_ev_fu": 2.0, "delta_e_f_kj_per_mol_fu": -103, "lattice_angstrom": [[4.641, 0.000, 0.000], [0.000, 4.641, 0.000], [0.000, 0.000, 7.274]], "species": ["Mn", "Mn", "La", "La", "Sn", "Sn"], "frac_coords": [[0.000, 0.000, 0.500], [0.500, 0.500, 0.500], [0.500, 0.000, 0.185], [0.000, 0.500, 0.815], [0.500, 0.000, 0.713], [0.000, 0.500, 0.287]]}

=====

# 18
{"formula": "La4MnSn8", "functional": "PBE", "state": "relaxed", "dos_at_fermi_per_ev_fu": 6.9, "delta_e_f_kj_per_mol_fu": -739, "lattice_angstrom": [[-2.746, 3.128, -1.786], [-2.840, -3.354, -1.510], [-8.949, 0.774, 15.112]], "species": ["La", "La", "La", "La", "Sn", "Sn", "Sn", "Sn", "Sn", "Sn", "Sn", "Sn", "Mn"], "frac_coords": [[0.500, 0.500, 0.396], [0.500, 0.000, 0.897], [0.000, 0.500, 0.607], [0.000, 0.000, 0.096], [0.000, 0.000, 0.749], [0.000, 0.500, 0.936], [0.500, 0.500, 0.755], [0.500, 0.500, 0.050], [0.500, 0.000, 0.573], [0.000, 0.000, 0.462], [0.500, 0.000, 0.234], [0.000, 0.500, 0.236], [0.000, 0.000, 0.313]]}

=====

# 19
{"formula": "LaMnSn3", "functional": "PBE", "state": "relaxed", "dos_at_fermi_per_ev_fu": 4.1, "delta_e_f_kj_per_mol_fu": -74, "lattice_angstrom": [[-1.631, 0.753, -4.798], [-4.041, -3.017, 0.900], [-2.694, 4.071, 1.554]], "species": ["Sn", "Sn", "Sn", "Mn", "La"], "frac_coords": [[0.000, 0.500, 0.000], [0.000, 0.000, 0.500], [0.500, 0.000, 0.000], [0.000, 0.000, 0.000], [0.500, 0.500, 0.500]]}

=====

# 20
{"formula": "LaMn2Sn2", "functional": "PBE", "state": "relaxed", "dos_at_fermi_per_ev_fu": 7.9, "delta_e_f_kj_per_mol_fu": 151, "lattice_angstrom": [[8.075, 0.000, 0.000], [0.000, 8.075, 0.000], [0.000, 0.000, 2.987]], "species": ["Sn", "Sn", "Sn", "Sn", "Mn", "Mn", "Mn", "Mn", "La", "La"], "frac_coords": [[0.138, 0.362, 0.000], [0.862, 0.638, 0.000], [0.362, 0.862, 0.000], [0.638, 0.138, 0.000], [0.848, 0.348, 0.500], [0.348, 0.152, 0.500], [0.652, 0.848, 0.500], [0.152, 0.652, 0.500], [0.500, 0.500, 0.000], [0.000, 0.000, 0.000]]}

=====

# 21
{"formula": "La2MnSn", "functional": "PBE", "state": "relaxed", "dos_at_fermi_per_ev_fu": 6.5, "delta_e_f_kj_per_mol_fu": 32, "lattice_angstrom": [[-0.679, -8.357, 0.757], [8.319, -0.570, 1.162], [3.412, -4.152, 4.036]], "species": ["La", "La", "La", "La", "Sn", "Sn", "Mn", "Mn"], "frac_coords": [[0.375, 0.424, 0.750], [0.576, 0.125, 0.250], [0.174, 0.625, 0.250], [0.875, 0.826, 0.750], [0.750, 0.250, 0.500], [0.000, 0.000, 0.000], [0.250, 0.750, 0.500], [0.500, 0.500, 0.000]]}

=====

# 22
{"formula": "La2MnTlSn", "functional": "PBE", "state": "relaxed", "dos_at_fermi_per_ev_fu": 6.2, "delta_e_f_kj_per_mol_fu": -59, "lattice_angstrom": [[-3.229, -2.514, -3.171], [2.930, -4.248, 0.384], [-2.789, -1.556, 4.074]], "species": ["La", "La", "Sn", "Mn", "Tl"], "frac_coords": [[0.500, 0.000, 0.000], [0.000, 0.000, 0.500], [0.500, 0.500, 0.500], [0.000, 0.000, 0.000], [0.000, 0.500, 0.000]]}

=====

# 23
{"formula": "LaMn2TlSn", "functional": "PBE", "state": "relaxed", "dos_at_fermi_per_ev_fu": 7.3, "delta_e_f_kj_per_mol_fu": 290, "lattice_angstrom": [[5.105, 0.000, 0.000], [0.000, 5.842, 0.000], [0.000, 0.000, 5.105]], "species": ["Sn", "Tl", "La", "Mn", "Mn"], "frac_coords": [[0.000, 0.000, 0.000], [0.000, 0.500, 0.000], [0.500, 0.500, 0.500], [0.500, 0.000, 0.000], [0.000, 0.000, 0.500]]}

=====

# 24
{"formula": "SrLa3Mn", "functional": "PBE", "state": "relaxed", "dos_at_fermi_per_ev_fu": 5.0, "delta_e_f_kj_per_mol_fu": 82, "lattice_angstrom": [[-1.603, 5.151, 1.502], [-2.868, 0.503, -4.784], [-4.535, -2.139, 2.494]], "species": ["La", "La", "La", "Mn", "Sr"], "frac_coords": [[0.500, 0.000, 0.000], [0.000, 0.000, 0.500], [0.000, 0.500, 0.000], [0.000, 0.000, 0.000], [0.500, 0.500, 0.500]]}

=====

# 25
{"formula": "Sr2LaMn4", "functional": "PBE", "state": "relaxed", "dos_at_fermi_per_ev_fu": 9.9, "delta_e_f_kj_per_mol_fu": 684, "lattice_angstrom": [[5.198, 0.000, 0.000], [0.000, 5.198, 0.000], [2.599, 2.599, 8.468]], "species": ["Mn", "Mn", "Mn", "Mn", "Sr", "Sr", "La"], "frac_coords": [[0.166, 0.166, 0.669], [0.834, 0.834, 0.331], [0.000, 0.500, 0.000], [0.500, 0.000, 0.000], [0.634, 0.634, 0.732], [0.366, 0.366, 0.268], [0.000, 0.000, 0.000]]}

=====

# 26
{"formula": "SrLa2Mn2", "functional": "PBE", "state": "relaxed", "de_polymorph_mev_per_atom": 0, "dos_at_fermi_per_ev_fu": 6.9, "delta_e_f_kj_per_mol_fu": 155, "lattice_angstrom": [[-3.690, -6.326, 4.835], [3.267, -6.062, -5.439], [3.233, -0.217, 2.184]], "species": ["Mn", "Mn", "Mn", "Mn", "La", "La", "La", "La", "Sr", "Sr"], "frac_coords": [[0.390, 0.890, 0.000], [0.110, 0.390, 0.000], [0.610, 0.110, 0.000], [0.890, 0.610, 0.000], [0.837, 0.337, 0.500], [0.663, 0.837, 0.500], [0.337, 0.163, 0.500], [0.163, 0.663, 0.500], [0.000, 0.000, 0.000], [0.500, 0.500, 0.000]]}